DFT (PBE+U) results for a geometry-optimized Nd2MnCoO6 structure.

Cell: 5.450 5.640 9.484 Å, 90.00 125.08 90.00°
Sites, in units of the cell vectors:
Nd  0.237  0.057  0.250
Nd  0.237  0.443  0.750
Nd  0.763  0.557  0.250
Nd  0.763  0.943  0.750
Mn  0.000  0.000  0.500
Mn  0.000  0.500  0.000
Co  0.500  0.000  0.000
Co  0.500  0.500  0.500
O  0.149  0.215  0.953
O  0.149  0.285  0.453
O  0.241  0.699  0.955
O  0.241  0.801  0.455
O  0.330  0.023  0.743
O  0.330  0.477  0.243
O  0.670  0.523  0.757
O  0.670  0.977  0.257
O  0.759  0.199  0.545
O  0.759  0.301  0.045
O  0.851  0.715  0.547
O  0.851  0.785  0.047

total magnetization = 6.019 μB/f.u.
total energy = -7.584 eV/atom
symmetry = No. 14